A plane-wave DFT calculation with PBE was carried out for a geometry-optimized ScRhW2 structure.

Cell: 2.7813 4.5780 5.2566 Å, 90.00 90.00 90.00°
With the nearest neighbours (Å) after each atom.
Space group Pmmm (No. 47)
Asymmetric unit:
1 Sc 0.0000 0.0000 0.0000 (multiplicity 1)  2 Rh 2.63, 2 Sc 2.78
2 Rh 0.0000 0.0000 0.5000 (multiplicity 1)  2 Sc 2.63, 2 Rh 2.78
3 W 0.5000 0.5000 0.2473 (multiplicity 2)  4 W 2.60-2.78

Computed properties:
E above lowest polymorph (meV/atom): 264.7
Total energy (eV per atom): -9.77
ΔH_f (0 K) (eV/atom): 0.130
Density of states at the Fermi level (states/eV/f.u.): 2.47